## LiVP2O8 (PBE+U)

Data for a relaxed structure of LiVP2O8.

Cell: 7.4852 8.4964 8.5032 Å, 60.47 87.02 84.86°
Closest atoms and distances in Å follow each position.
Fractional positions:
Li  0.0000  0.0000  0.0000  3 O 1.97-2.15
Li  0.0399  0.7404  0.6714  3 O 1.96-2.15
Li  0.1297  0.5873  0.3384  3 O 1.92-2.09
V  0.4370  0.0437  0.0005  6 O 1.84-1.94
V  0.5263  0.3603  0.3404  6 O 1.84-2.01
V  0.6045  0.6916  0.6799  6 O 1.86-1.94
P  0.3031  0.0182  0.3862  4 O 1.49-1.57
P  0.3038  0.6993  0.9808  4 O 1.49-1.58
P  0.3058  0.4215  0.6636  4 O 1.51-1.56
P  0.7378  0.0329  0.6995  4 O 1.48-1.57
P  0.7394  0.3078  0.0144  4 O 1.48-1.57
P  0.7394  0.7126  0.2959  4 O 1.51-1.56
O  0.1278  0.9769  0.4842  1 P 1.49
O  0.1392  0.5471  0.5889  1 P 1.51
O  0.1451  0.6636  0.9074  1 P 1.49
O  0.2763  0.2442  0.8453  1 P 1.56
O  0.2768  0.8859  0.9815  1 P 1.58
O  0.2990  0.0098  0.2062  1 P 1.57
O  0.3448  0.5606  0.1843  1 P 1.57
O  0.3691  0.2091  0.3254  1 P 1.56
O  0.3773  0.3562  0.5284  1 P 1.56
O  0.4581  0.8830  0.5095  1 P 1.57
O  0.4586  0.5217  0.6861  1 P 1.56
O  0.4793  0.6985  0.8715  1 P 1.57
O  0.5646  0.0320  0.8132  1 P 1.57
O  0.5760  0.2149  0.9940  1 P 1.57
O  0.5960  0.8556  0.1686  1 P 1.55
O  0.6654  0.3733  0.1505  1 P 1.57
O  0.6685  0.5263  0.3469  1 P 1.56
O  0.6783  0.1721  0.5005  1 P 1.57
O  0.7449  0.7118  0.4797  1 P 1.56
O  0.7610  0.4902  0.8344  1 P 1.57
O  0.7663  0.8476  0.6996  1 P 1.57
O  0.8968  0.0784  0.7624  1 P 1.48
O  0.9039  0.1828  0.0725  1 P 1.48
O  0.9235  0.7399  0.2099  1 P 1.51

E: -7.046 eV/atom
Space group: P1 (1)